! PBE PuInAu3, relaxed; values from VASP
! - calculated formation energy (eV per atom) = -0.28
! - crystal system = monoclinic
! - symmetry = P2_1/m (11)
! - E above lowest polymorph (meV/atom) = 38
! - raw total energy (eV per atom) = -5.661
&SYSTEM
  ibrav = 0, nat = 10, ntyp = 3
/
ATOMIC_SPECIES
Pu 244.00 Pu.upf
In 114.82 In.upf
Au 196.97 Au.upf
CELL_PARAMETERS angstrom
4.9436 0.0000 0.0000
0.0000 7.5566 0.0000
-2.4543 0.0000 6.1314
ATOMIC_POSITIONS angstrom
Pu 0.0094 1.8891 1.6109
Pu 2.4798 5.6674 4.5205
In -0.0012 5.6674 1.7916
In 2.4904 1.8891 4.3398
Au 0.0076 3.8781 3.9961
Au 0.0076 7.4568 3.9961
Au 0.0247 1.8891 5.9700
Au 2.4645 5.6674 0.1615
Au 2.4816 0.0998 2.1353
Au 2.4816 3.6785 2.1353